BaBrNF2: relaxed, PBE-GGA.

Spin magnetization ... 0.00 μB per cell
Raw formation energy ... -0.94 eV per atom
Final energy ... -20.38 eV/f.u.
Distance to the lowest polymorph of the same formula ... 0.0 meV per atom

Cell: 4.993 4.993 3.843 Å, 90.00 90.00 90.00°
Space group P4/mmm (No. 123)
Unique sites:
1 Ba 0.000 0.000 0.000 [1 per cell]
2 Br 0.500 0.500 0.500 [1 per cell]
3 N 0.500 0.500 0.000 [1 per cell]
4 F 0.000 0.500 0.500 [2 per cell]